# 1
First-principles (PBE) data for a relaxed structure of Ag2SnAsAu, as listed in the Alexandria database.

Cell lengths 4.9531, 5.0719, 4.9531 Å; angles 90.00, 90.00, 90.00 degrees
Fractional positions:
Ag  0.0000  0.0000  0.5000
Ag  0.5000  0.0000  0.0000
As  0.0000  0.0000  0.0000
Au  0.0000  0.5000  0.0000
Sn  0.5000  0.5000  0.5000

Values from the calculation:
ΔH_f (0 K) = 0.348 eV/atom
E = -3.1781 eV/atom
crystal system = tetragonal

***

# 2
First-principles (PBE) data for a relaxed structure of Hg2Pd3Pb3, as listed in the Alexandria database.

Cell lengths 3.3974, 7.2778, 15.0260 Å; angles 90.00, 90.00, 103.50 degrees
Fractional positions:
Pd  0.5927  0.1854  0.0365
Pd  0.4073  0.8146  0.5365
Pd  0.6602  0.3203  0.7500
Pd  0.5927  0.1854  0.4635
Pd  0.4073  0.8146  0.9635
Pd  0.3398  0.6797  0.2500
Hg  0.7544  0.5087  0.9151
Hg  0.7544  0.5087  0.5849
Hg  0.2456  0.4913  0.0849
Hg  0.2456  0.4913  0.4151
Pb  0.3410  0.6819  0.7500
Pb  0.6590  0.3181  0.2500
Pb  0.0479  0.0958  0.6231
Pb  0.9521  0.9042  0.1231
Pb  0.9521  0.9042  0.3769
Pb  0.0479  0.0958  0.8769

Values from the calculation:
ΔH_f (0 K) = -0.123 eV/atom
E = -3.5362 eV/atom
crystal system = orthorhombic

***

# 3
First-principles (PBE) data for a relaxed structure of KHfB, as listed in the Alexandria database.

Cell lengths 12.5963, 3.3989, 3.4756 Å; angles 90.00, 89.79, 89.69 degrees
Fractional positions:
B  0.0589  0.0138  0.9476
B  0.2767  0.5093  0.4445
K  0.5034  0.0120  0.4418
K  0.8322  0.5300  0.9512
Hf  0.0847  0.5127  0.4472
Hf  0.2509  0.0094  0.9449

Values from the calculation:
ΔH_f (0 K) = 0.091 eV/atom
E = -5.8183 eV/atom
crystal system = triclinic
energy above the lowest structure with this stoichiometry = 0.48 eV/f.u.

***

# 4
First-principles (PBE) data for a relaxed structure of Co2ReTe, as listed in the Alexandria database.

Cell lengths 4.7361, 4.7361, 4.7361 Å; angles 132.51, 132.46, 69.46 degrees
Site moments in Bohr magnetons follow the coordinates.
Fractional positions:
Re  0.5000  0.5000  0.0000  0.19
Te  0.2499  0.7499  0.5000  0.02
Co  0.0000  0.0000  0.0000  1.13
Co  0.7500  0.2500  0.5000  1.12

Values from the calculation:
E = -6.9416 eV/atom
formation energy without anion corrections = 509 meV per atom
crystal system = tetragonal

***

# 5
First-principles (PBE) data for a relaxed structure of PIrAu2, as listed in the Alexandria database.

Cell lengths 5.6183, 5.6183, 3.1931 Å; angles 73.73, 73.73, 123.89 degrees
Fractional positions:
Au  0.0000  0.0000  0.0000
Au  0.5000  0.5000  0.0000
P  0.0000  0.5000  0.5000
Ir  0.5000  0.0000  0.5000

Values from the calculation:
ΔH_f (0 K) = 0.405 eV/atom
E = -4.8009 eV/atom
crystal system = monoclinic

***

# 6
First-principles (PBE) data for a relaxed structure of CaSmGaPd, as listed in the Alexandria database.

Cell lengths 5.1018, 5.1018, 5.1018 Å; angles 60.00, 60.00, 60.00 degrees
Fractional positions:
Ca  0.5000  0.5000  0.5000
Pd  0.7500  0.7500  0.7500
Sm  0.0000  0.0000  0.0000
Ga  0.2500  0.2500  0.2500

Values from the calculation:
ΔH_f (0 K) = -0.597 eV/atom
E = -4.3320 eV/atom
crystal system = cubic
energy above the lowest structure with this stoichiometry = 0.12 eV/f.u.

***

# 7
First-principles (PBE) data for a relaxed structure of MnP3, as listed in the Alexandria database.

Cell lengths 6.9796, 3.5034, 4.4367 Å; angles 90.00, 90.00, 90.00 degrees
Fractional positions:
Mn  0.5000  0.5000  0.1618
Mn  0.0000  0.0000  0.6618
P  0.1834  0.5000  0.3753
P  0.5000  0.0000  0.4795
P  0.0000  0.5000  0.9795
P  0.8166  0.5000  0.3753
P  0.6834  0.0000  0.8753
P  0.3166  0.0000  0.8753

Values from the calculation:
ΔH_f (0 K) = -0.047 eV/atom
E = -6.3963 eV/atom
crystal system = orthorhombic
energy above the lowest structure with this stoichiometry = 0.45 eV/f.u.

***

# 8
First-principles (PBE) data for a relaxed structure of Pa2ZnPb, as listed in the Alexandria database.

Cell lengths 4.9124, 4.3819, 4.3819 Å; angles 90.00, 90.00, 90.00 degrees
Site moments in Bohr magnetons follow the coordinates.
Fractional positions:
Pb  0.5000  0.5000  0.5000  -0.01
Pa  0.0000  0.0000  0.5000  0.43
Pa  0.0000  0.5000  0.0000  0.43
Zn  0.5000  0.0000  0.0000  0.00

Values from the calculation:
ΔH_f (0 K) = 0.087 eV/atom
E = -5.9067 eV/atom
crystal system = tetragonal
energy above the lowest structure with this stoichiometry = 0.00 eV/f.u.

***

Repeat the sixth record exactly.
First-principles (PBE) data for a relaxed structure of CaSmGaPd, as listed in the Alexandria database.

Cell lengths 5.1018, 5.1018, 5.1018 Å; angles 60.00, 60.00, 60.00 degrees
Fractional positions:
Ca  0.5000  0.5000  0.5000
Pd  0.7500  0.7500  0.7500
Sm  0.0000  0.0000  0.0000
Ga  0.2500  0.2500  0.2500

Values from the calculation:
ΔH_f (0 K) = -0.597 eV/atom
E = -4.3320 eV/atom
crystal system = cubic
energy above the lowest structure with this stoichiometry = 0.12 eV/f.u.

***

> What is the E in the sixth record?

-4.3320 eV/atom

***

Please write out number 6 again, unchanged.
First-principles (PBE) data for a relaxed structure of CaSmGaPd, as listed in the Alexandria database.

Cell lengths 5.1018, 5.1018, 5.1018 Å; angles 60.00, 60.00, 60.00 degrees
Fractional positions:
Ca  0.5000  0.5000  0.5000
Pd  0.7500  0.7500  0.7500
Sm  0.0000  0.0000  0.0000
Ga  0.2500  0.2500  0.2500

Values from the calculation:
ΔH_f (0 K) = -0.597 eV/atom
E = -4.3320 eV/atom
crystal system = cubic
energy above the lowest structure with this stoichiometry = 0.12 eV/f.u.

***

> What is the E in the sixth record?

-4.3320 eV/atom